(1)
Y3TaC | PBE-GGA | relaxed

As for the total magnetization: 3.358 μB/f.u. The value obtained for the offset from the most stable computed form is 0.00 kcal/mol of atoms. As for the total energy: -7.787 eV/atom. As for the formation energy from the elements: 0.306 eV per atom. The space-group type is Pm-3m.

Unit cell a=4.9139 b=4.9139 c=4.9139 alpha=90.00 beta=90.00 gamma=90.00
Atoms (fractional coordinates):
C (0.0000, 0.0000, 0.0000)
Y (0.0000, 0.0000, 0.5000)
Y (0.5000, 0.0000, 0.0000)
Y (0.0000, 0.5000, 0.0000)
Ta (0.5000, 0.5000, 0.5000)


(2)
Cd5Ni4 | PBE-GGA | relaxed

As for the total magnetization: 0.000 μB/f.u. The value obtained for the offset from the most stable computed form is 0.26 kcal/mol of atoms. As for the total energy: -2.940 eV/atom. As for the formation energy from the elements: 0.138 eV per atom. The space-group type is P6_3/mcm.

Unit cell a=7.8485 b=7.8485 c=5.4931 alpha=90.00 beta=90.00 gamma=60.00
Atoms (fractional coordinates):
Ni (0.3674, 0.0000, 0.2500)
Ni (0.0000, 0.0000, 0.5000)
Ni (0.6326, 0.0000, 0.7500)
Ni (0.0000, 0.3674, 0.7500)
Ni (0.3674, 0.6326, 0.7500)
Ni (0.6326, 0.3674, 0.2500)
Ni (0.0000, 0.0000, 0.0000)
Ni (0.0000, 0.6326, 0.2500)
Cd (0.7075, 0.0000, 0.2500)
Cd (0.0000, 0.7075, 0.7500)
Cd (0.2925, 0.7075, 0.2500)
Cd (0.6667, 0.6667, 0.5000)
Cd (0.7075, 0.2925, 0.7500)
Cd (0.3333, 0.3333, 0.0000)
Cd (0.3333, 0.3333, 0.5000)
Cd (0.0000, 0.2925, 0.2500)
Cd (0.2925, 0.0000, 0.7500)
Cd (0.6667, 0.6667, 0.0000)


(3)
Pm3Zn7Pd2 | PBE-GGA | relaxed

As for the total magnetization: 0.000 μB/f.u. As for the total energy: -3.237 eV/atom. As for the formation energy from the elements: -0.441 eV per atom. The space-group type is R-3m.

Unit cell a=5.4901 b=5.4901 c=9.3065 alpha=72.84 beta=72.84 gamma=60.00
Atoms (fractional coordinates):
Zn (0.0824, 0.5803, 0.7570)
Zn (0.5000, 0.5000, 0.5000)
Zn (0.5803, 0.5803, 0.7570)
Zn (0.4197, 0.4197, 0.2430)
Zn (0.9176, 0.4197, 0.2430)
Zn (0.5803, 0.0824, 0.7570)
Zn (0.4197, 0.9176, 0.2430)
Pm (0.0000, 0.0000, 0.0000)
Pm (0.1460, 0.1460, 0.5620)
Pm (0.8540, 0.8540, 0.4380)
Pd (0.3333, 0.3333, 0.0000)
Pd (0.6667, 0.6667, 0.0000)


(4)
SmTmCo | PBE-GGA | relaxed

As for the total magnetization: 0.000 μB/f.u. The value obtained for the offset from the most stable computed form is 2.67 kcal/mol of atoms. As for the total energy: -5.467 eV/atom. As for the formation energy from the elements: -0.034 eV per atom. The space-group type is F-43m.

Unit cell a=4.7025 b=4.7025 c=4.7025 alpha=60.00 beta=60.00 gamma=60.00
Atoms (fractional coordinates):
Sm (0.5000, 0.5000, 0.5000)
Co (0.2500, 0.2500, 0.2500)
Tm (0.0000, 0.0000, 0.0000)


(5)
Ti4Te2Se | PBE-GGA | relaxed

As for the total magnetization: 3.003 μB/f.u. The calculation puts the energy relative to the elements, uncorrected at -14.63 kJ/mol of atoms. As for the total energy: -6.058 eV/atom. The space-group type is I4/mmm.

Unit cell a=4.6656 b=4.6656 c=7.8419 alpha=72.69 beta=72.69 gamma=90.00
Atoms (fractional coordinates):
Ti (0.8271, 0.8271, 0.3457)
Ti (0.0000, 0.5000, 0.0000)
Ti (0.5000, 0.0000, 0.0000)
Ti (0.1729, 0.1729, 0.6543)
Se (0.0000, 0.0000, 0.0000)
Te (0.6351, 0.6351, 0.7298)
Te (0.3649, 0.3649, 0.2702)


(6)
BeNiTe | PBE-GGA | relaxed

As for the total magnetization: 0.000 μB/f.u. The calculation puts the energy relative to the elements, uncorrected at -17.30 kJ/mol of atoms. As for the total energy: -4.396 eV/atom. The space-group type is P2_1/m.

Unit cell a=9.1949 b=3.1701 c=3.5190 alpha=89.99 beta=89.98 gamma=100.07
Atoms (fractional coordinates):
Be (0.3220, 0.4049, 0.2328)
Be (0.1696, 0.3273, 0.7330)
Ni (0.1428, 0.8143, 0.2335)
Ni (0.3488, 0.9185, 0.7333)
Te (0.9354, 0.7099, 0.7334)
Te (0.5561, 0.0231, 0.2329)